# LuHgRh, optimized geometry, DFT PBE-GGA
# Energy of formation = -0.57 eV/atom
data_LuHgRh
_cell_length_a 3.547
_cell_length_b 3.547
_cell_length_c 9.452
_cell_angle_alpha 90.00
_cell_angle_beta 90.00
_cell_angle_gamma 90.00
_space_group_name_H-M_alt 'I 4 m m'
_space_group_IT_number 107
_space_group_name_Hall 'I 4 -2'
loop_
_atom_site_label
_atom_site_fract_x
_atom_site_fract_y
_atom_site_fract_z
_atom_site_occupancy
Lu1 0.000 0.000 0.000 1
Hg1 0.000 0.000 0.685 1
Rh1 0.000 0.000 0.358 1


# LaSmHo5, optimized geometry, DFT PBE-GGA
# Energy of formation = 0.20 eV/atom
data_LaSmHo5
_cell_length_a 11.702
_cell_length_b 6.882
_cell_length_c 12.115
_cell_angle_alpha 90.00
_cell_angle_beta 109.18
_cell_angle_gamma 90.00
_space_group_name_H-M_alt 'C 1 2/c 1'
_space_group_IT_number 15
_space_group_name_Hall '-C 2yc'
loop_
_atom_site_label
_atom_site_fract_x
_atom_site_fract_y
_atom_site_fract_z
_atom_site_occupancy
La1 0.000 0.025 0.250 1
Sm1 0.250 0.250 0.000 1
Ho1 0.000 0.409 0.750 1
Ho2 0.081 0.283 0.499 1
Ho3 0.220 0.363 0.252 1


# ScNi2Te, optimized geometry, DFT PBE-GGA
# ΔE_f (raw) = -1.59 eV/f.u.
data_ScNi2Te
_cell_length_a 3.958
_cell_length_b 4.699
_cell_length_c 7.760
_cell_angle_alpha 90.03
_cell_angle_beta 94.98
_cell_angle_gamma 109.76
_space_group_name_H-M_alt 'P 1'
_space_group_IT_number 1
_space_group_name_Hall 'P 1'
loop_
_atom_site_label
_atom_site_fract_x
_atom_site_fract_y
_atom_site_fract_z
_atom_site_occupancy
Sc1 0.000 0.000 0.000 1
Sc2 0.146 0.251 0.483 1
Ni1 0.354 0.627 0.956 1
Ni2 0.386 0.848 0.294 1
Ni3 0.468 0.887 0.657 1
Ni4 0.860 0.694 0.486 1
Te1 0.656 0.408 0.207 1
Te2 0.751 0.437 0.764 1


# TbCeGaPt, optimized geometry, DFT PBE-GGA
# Energy of formation = -0.83 eV/atom
data_TbCeGaPt
_cell_length_a 4.487
_cell_length_b 3.898
_cell_length_c 10.874
_cell_angle_alpha 90.00
_cell_angle_beta 90.00
_cell_angle_gamma 90.00
_space_group_name_H-M_alt 'A m m 2'
_space_group_IT_number 38
_space_group_name_Hall 'A 2 -2'
loop_
_atom_site_label
_atom_site_fract_x
_atom_site_fract_y
_atom_site_fract_z
_atom_site_occupancy
Tb1 0.000 0.000 0.000 1
Ce1 0.500 0.000 0.283 1
Ga1 0.000 0.000 0.715 1
Pt1 0.500 0.000 0.564 1


# Zr3Sn2, optimized geometry, DFT PBE-GGA
# Energy of formation = -0.38 eV/atom
data_Zr3Sn2
_cell_length_a 5.625
_cell_length_b 5.625
_cell_length_c 14.720
_cell_angle_alpha 90.00
_cell_angle_beta 90.00
_cell_angle_gamma 90.00
_space_group_name_H-M_alt 'I 41/a m d'
_space_group_IT_number 141
loop_
_space_group_symop_operation_xyz
'x,y,z'
'-x,-y,-z'
'-y+1/4,x+3/4,z+1/4'
'y+1/4,-x+3/4,-z+1/4'
'-x+1/2,-y,z+1/2'
'x+1/2,y,-z+1/2'
'y+1/4,-x+1/4,z+3/4'
'-y+1/4,x+1/4,-z+3/4'
'x,-y,-z'
'-x,y,z'
'-y+1/4,-x+1/4,-z+3/4'
'y+1/4,x+1/4,z+3/4'
'-x+1/2,y,-z+1/2'
'x+1/2,-y,z+1/2'
'y+1/4,x+3/4,-z+1/4'
'-y+1/4,-x+3/4,z+1/4'
'x+1/2,y+1/2,z+1/2'
'-x+1/2,-y+1/2,-z+1/2'
'-y+3/4,x+1/4,z+3/4'
'y+3/4,-x+1/4,-z+3/4'
'-x,-y+1/2,z'
'x,y+1/2,-z'
'y+3/4,-x+3/4,z+1/4'
'-y+3/4,x+3/4,-z+1/4'
'x+1/2,-y+1/2,-z+1/2'
'-x+1/2,y+1/2,z+1/2'
'-y+3/4,-x+3/4,-z+1/4'
'y+3/4,x+3/4,z+1/4'
'-x,y+1/2,-z'
'x,-y+1/2,z'
'y+3/4,x+1/4,-z+3/4'
'-y+3/4,-x+1/4,z+3/4'
loop_
_atom_site_label
_atom_site_fract_x
_atom_site_fract_y
_atom_site_fract_z
_atom_site_occupancy
Zr1 0.000 0.000 0.000 1
Zr2 0.000 0.250 0.375 1
Sn1 0.000 0.250 0.179 1


# TlVCu2Cl8, optimized geometry, DFT PBE-GGA
# ΔE_f (raw) = -10.18 eV/f.u.
data_TlVCu2Cl8
_cell_length_a 6.093
_cell_length_b 6.883
_cell_length_c 8.379
_cell_angle_alpha 69.91
_cell_angle_beta 82.96
_cell_angle_gamma 85.92
_space_group_name_H-M_alt 'P -1'
_space_group_IT_number 2
_space_group_name_Hall '-P 1'
loop_
_atom_site_label
_atom_site_fract_x
_atom_site_fract_y
_atom_site_fract_z
_atom_site_occupancy
Tl1 0.000 0.000 0.000 1
V1 0.000 0.500 0.500 1
Cu1 0.476 0.526 0.815 1
Cl1 0.111 0.484 0.765 1
Cl2 0.152 0.814 0.374 1
Cl3 0.333 0.334 0.442 1
Cl4 0.478 0.765 0.955 1


We obtain size of the total moment values of 0.000 0.000 0.000 0.200 0.000 0.003 μB per atom for the records listed above, in that order.